(1)
## Ca2LaTb (GGA-PBE)

Data for Ca2LaTb after structural relaxation.

Summary:
**Space group**: Fm-3m
**Fermi-level density of states**: 1.46 states/eV/atom

Structure (CIF):
```
data_Ca2LaTb
_chemical_formula_sum 'Ca2 La1 Tb1'
_symmetry_space_group_name_H-M 'P 1'
_symmetry_Int_Tables_number 1
_cell_length_a 5.962
_cell_length_b 5.962
_cell_length_c 5.962
_cell_angle_alpha 60.00
_cell_angle_beta 60.00
_cell_angle_gamma 60.00
loop_
_symmetry_equiv_pos_as_xyz
'x,y,z'
loop_
_atom_site_label
_atom_site_fract_x
_atom_site_fract_y
_atom_site_fract_z
Ca1 0.250 0.250 0.250
Tb1 0.000 0.000 0.000
La1 0.500 0.500 0.500
Ca2 0.750 0.750 0.750
```

---

(2)
## CaLaTb2 (GGA-PBE)

Data for CaLaTb2 after structural relaxation.

Summary:
**Space group**: Fm-3m
**Fermi-level density of states**: 1.85 states/eV/atom

Structure (CIF):
```
data_CaLaTb2
_chemical_formula_sum 'Ca1 La1 Tb2'
_symmetry_space_group_name_H-M 'P 1'
_symmetry_Int_Tables_number 1
_cell_length_a 5.846
_cell_length_b 5.846
_cell_length_c 5.846
_cell_angle_alpha 60.00
_cell_angle_beta 60.00
_cell_angle_gamma 60.00
loop_
_symmetry_equiv_pos_as_xyz
'x,y,z'
loop_
_atom_site_label
_atom_site_fract_x
_atom_site_fract_y
_atom_site_fract_z
Ca1 0.500 0.500 0.500
La1 0.000 0.000 0.000
Tb1 0.250 0.250 0.250
Tb2 0.750 0.750 0.750
```

---

(3)
## CaLaTb14 (GGA-PBE)

Data for CaLaTb14 after structural relaxation.

Summary:
**Space group**: Amm2
**Fermi-level density of states**: 1.62 states/eV/atom

Structure (CIF):
```
data_CaLaTb14
_chemical_formula_sum 'Ca1 La1 Tb14'
_symmetry_space_group_name_H-M 'P 1'
_symmetry_Int_Tables_number 1
_cell_length_a 7.314
_cell_length_b 7.314
_cell_length_c 11.442
_cell_angle_alpha 90.00
_cell_angle_beta 90.00
_cell_angle_gamma 120.11
loop_
_symmetry_equiv_pos_as_xyz
'x,y,z'
loop_
_atom_site_label
_atom_site_fract_x
_atom_site_fract_y
_atom_site_fract_z
Tb1 0.166 0.834 0.500
Tb2 0.834 0.671 0.744
Tb3 0.835 0.165 0.747
Tb4 0.665 0.831 0.000
Tb5 0.835 0.165 0.253
Tb6 0.329 0.166 0.256
Ca1 0.667 0.333 0.000
La1 0.168 0.832 0.000
Tb7 0.667 0.333 0.500
Tb8 0.667 0.833 0.500
Tb9 0.334 0.666 0.749
Tb10 0.834 0.671 0.256
Tb11 0.329 0.166 0.744
Tb12 0.334 0.666 0.251
Tb13 0.167 0.333 0.500
Tb14 0.169 0.335 0.000
```

---

Here are the calculated formation enthalpy at 0 K numbers, same order: 140, 169, 33 (meV/atom).